A geometry-optimized Ac2HfVO6 structure, computed with PBE+U.

```
data_Ac2HfVO6
_chemical_formula_sum 'Ac4 Hf2 V2 O12'
_cell_length_a 5.8395
_cell_length_b 5.9147
_cell_length_c 10.1301
_cell_angle_alpha 90.00
_cell_angle_beta 125.12
_cell_angle_gamma 90.00
_space_group_name_H-M_alt 'P 1 21/c 1'
_space_group_IT_number 14
_space_group_name_Hall '-P 2ybc'
loop_
_atom_site_label
_atom_site_fract_x
_atom_site_fract_y
_atom_site_fract_z
Ac1 0.2409 0.0396 0.2490
Hf1 0.5000 0.0000 0.0000
V1 0.0000 0.0000 0.5000
O1 0.1722 0.2039 0.9572
O2 0.2502 0.7157 0.9533
O3 0.3405 0.0260 0.7561
```

Properties
Magnetization, μB per cell: 6.00
Total DFT energy (no corrections), eV per formula unit: -86.91